# Na2PO3

An optimized crystal structure of Na2PO3 (PBE, Alexandria).

Cell: 7.889 6.586 6.385 Å, 74.90 53.71 51.39°
Atoms (fractional coordinates):
Na1 0.234 0.766 0.766
Na2 0.250 0.250 0.250
Na3 0.750 0.750 0.750
Na4 0.766 0.234 0.234
P1 0.236 0.236 0.764
P2 0.764 0.764 0.236
O1 0.043 0.281 0.719
O2 0.281 0.043 0.957
O3 0.369 0.369 0.631
O4 0.631 0.631 0.369
O5 0.719 0.957 0.043
O6 0.957 0.719 0.281

Values from the calculation:
Density of states at the Fermi level, states/eV/f.u.: 0.70
Space-group type: Fmmm
Energy above the most stable polymorph in this dataset, eV per formula unit: 0.54
Electronic total energy, eV/atom: -5.5731
Mass density, Mg/m³: 2.02
Formation energy without anion corrections, eV/atom: -1.75